DFT (PBE-GGA) results for SmZn3Pt after structural relaxation.

Summary:
* total DFT energy (no corrections): -17.4 eV/f.u.
* crystal system: monoclinic
* energy above the lowest structure with this stoichiometry: 0 meV per atom

Cell: 5.652 5.468 5.944 Å, 90.00 92.76 90.00°
Atoms (fractional coordinates):
Sm (0.160, 0.250, 0.170)
Sm (0.840, 0.750, 0.830)
Zn (0.327, 0.002, 0.669)
Zn (0.327, 0.498, 0.669)
Zn (0.374, 0.750, 0.053)
Zn (0.626, 0.250, 0.947)
Zn (0.673, 0.502, 0.331)
Zn (0.673, 0.998, 0.331)
Pt (0.073, 0.750, 0.363)
Pt (0.927, 0.250, 0.637)

---

DFT (PBE-GGA) results for SrLaW2 after structural relaxation.

Summary:
* total DFT energy (no corrections): -27.8 eV/f.u.
* crystal system: cubic
* energy above the lowest structure with this stoichiometry: 637 meV per atom

Cell: 5.053 5.053 5.053 Å, 60.00 60.00 60.00°
Atoms (fractional coordinates):
Sr (0.000, 0.000, 0.000)
La (0.750, 0.750, 0.750)
W (0.250, 0.250, 0.250)
W (0.500, 0.500, 0.500)

---

DFT (PBE-GGA) results for LaTaIn2 after structural relaxation.

Summary:
* total DFT energy (no corrections): -21.4 eV/f.u.
* crystal system: tetragonal

Cell: 5.633 5.633 3.052 Å, 90.00 90.00 90.00°
Atoms (fractional coordinates):
La (0.000, 0.000, 0.000)
Ta (0.500, 0.500, 0.000)
In (0.000, 0.500, 0.500)
In (0.500, 0.000, 0.500)

---

DFT (PBE-GGA) results for CaYSc4 after structural relaxation.

Summary:
* total DFT energy (no corrections): -32.5 eV/f.u.
* crystal system: cubic

Cell: 6.302 6.302 6.302 Å, 60.00 60.00 60.00°
Atoms (fractional coordinates):
Ca (0.000, 0.000, 0.000)
Y (0.250, 0.250, 0.250)
Sc (0.132, 0.623, 0.623)
Sc (0.623, 0.132, 0.623)
Sc (0.623, 0.623, 0.132)
Sc (0.623, 0.623, 0.623)

---

Number 1: formation energy from the elements -568 meV/atom, size of the total moment 0.000 μB/atom. Number 2: formation energy from the elements 1175 meV/atom, size of the total moment 0.000 μB/atom. Number 3: formation energy from the elements 224 meV/atom, size of the total moment 0.026 μB/atom. Number 4: formation energy from the elements 215 meV/atom, size of the total moment 0.146 μB/atom.